# 1
# Nd2Sm6Ho3Tl | the Alexandria database | PBE-GGA | relaxed
# Electronic total energy = -4.523 eV/atom
# Total magnetic moment = 0.0 μB/cell
# SG = C2/m, No. 12
# D(E_F) = 14.23 states/eV/f.u.
data_Nd2Sm6Ho3Tl
_chemical_formula_sum 'Nd2 Sm6 Ho3 Tl1'
_space_group_name_H-M_alt 'P 1'
_space_group_IT_number 1
_space_group_name_Hall 'P 1'
_cell_length_a 6.183
_cell_length_b 6.183
_cell_length_c 11.857
_cell_angle_alpha 95.00
_cell_angle_beta 95.00
_cell_angle_gamma 120.08
loop_
_atom_site_label
_atom_site_fract_x
_atom_site_fract_y
_atom_site_fract_z
Nd1 0.334 0.666 0.000
Nd2 0.666 0.334 0.000
Sm1 0.916 0.589 0.748
Sm2 0.757 0.757 0.253
Sm3 0.084 0.411 0.252
Sm4 0.589 0.916 0.748
Sm5 0.243 0.243 0.747
Sm6 0.411 0.084 0.252
Ho1 0.167 0.833 0.500
Ho2 0.833 0.167 0.500
Ho3 0.500 0.500 0.500
Tl1 0.000 0.000 0.000

# 2
# NbOsN2 | the Alexandria database | PBE-GGA | relaxed
# ΔE to the lowest computed polymorph = 0.31 eV/f.u.
# Total magnetic moment = 0.9 μB/cell
# SG = R-3m, No. 166
# Raw formation energy = 0.024 eV/atom
# D(E_F) = 2.84 states/eV/f.u.
data_NbOsN2
_chemical_formula_sum 'Nb1 Os1 N2'
_space_group_name_H-M_alt 'P 1'
_space_group_IT_number 1
_space_group_name_Hall 'P 1'
_cell_length_a 6.603
_cell_length_b 6.603
_cell_length_c 6.603
_cell_angle_alpha 26.31
_cell_angle_beta 26.31
_cell_angle_gamma 26.31
loop_
_atom_site_label
_atom_site_fract_x
_atom_site_fract_y
_atom_site_fract_z
Nb1 0.500 0.500 0.500
Os1 0.000 0.000 0.000
N1 0.898 0.898 0.898
N2 0.102 0.102 0.102

# 3
# Pa2ReBr | the Alexandria database | PBE-GGA | relaxed
# ΔE to the lowest computed polymorph = 0.27 eV/f.u.
# Total magnetic moment = 0.0 μB/cell
# SG = R-3m, No. 166
# Raw formation energy = -0.282 eV/atom
# D(E_F) = 5.26 states/eV/f.u.
data_Pa2ReBr
_chemical_formula_sum 'Pa2 Re1 Br1'
_space_group_name_H-M_alt 'P 1'
_space_group_IT_number 1
_space_group_name_Hall 'P 1'
_cell_length_a 4.026
_cell_length_b 4.026
_cell_length_c 7.804
_cell_angle_alpha 75.05
_cell_angle_beta 75.05
_cell_angle_gamma 60.00
loop_
_atom_site_label
_atom_site_fract_x
_atom_site_fract_y
_atom_site_fract_z
Re1 0.000 0.000 0.000
Pa1 0.267 0.267 0.198
Pa2 0.733 0.733 0.802
Br1 0.500 0.500 0.500

# 4
# Ce2SO2 | the Alexandria database | PBE-GGA | relaxed
# Total magnetic moment = 4.0 μB/cell
# SG = C2/c, No. 15
# Raw formation energy = -2.912 eV/atom
# D(E_F) = 11.15 states/eV/f.u.
data_Ce2SO2
_chemical_formula_sum 'Ce4 S2 O4'
_space_group_name_H-M_alt 'P 1'
_space_group_IT_number 1
_space_group_name_Hall 'P 1'
_cell_length_a 6.235
_cell_length_b 6.236
_cell_length_c 6.389
_cell_angle_alpha 113.12
_cell_angle_beta 112.41
_cell_angle_gamma 101.96
loop_
_atom_site_label
_atom_site_fract_x
_atom_site_fract_y
_atom_site_fract_z
Ce1 0.830 0.171 0.245
Ce2 0.574 0.415 0.745
Ce3 0.426 0.585 0.255
Ce4 0.170 0.829 0.755
S1 0.126 0.876 0.250
S2 0.874 0.124 0.750
O1 0.488 0.240 0.979
O2 0.239 0.490 0.479
O3 0.512 0.760 0.021
O4 0.761 0.510 0.521

# 5
# Li6Zn | the Alexandria database | PBE-GGA | relaxed
# ΔE to the lowest computed polymorph = 4.26 eV/f.u.
# Total magnetic moment = 0.0 μB/cell
# SG = Im-3m, No. 229
# D(E_F) = 2.30 states/eV/f.u.
data_Li6Zn
_chemical_formula_sum 'Li6 Zn1'
_space_group_name_H-M_alt 'P 1'
_space_group_IT_number 1
_space_group_name_Hall 'P 1'
_cell_length_a 5.867
_cell_length_b 5.867
_cell_length_c 5.867
_cell_angle_alpha 109.47
_cell_angle_beta 109.47
_cell_angle_gamma 109.47
loop_
_atom_site_label
_atom_site_fract_x
_atom_site_fract_y
_atom_site_fract_z
Li1 0.250 0.750 0.500
Li2 0.500 0.750 0.250
Li3 0.250 0.500 0.750
Li4 0.750 0.250 0.500
Li5 0.500 0.250 0.750
Li6 0.750 0.500 0.250
Zn1 0.000 0.000 0.000

# 6
# PmZrNi4 | the Alexandria database | PBE-GGA | relaxed
# Electronic total energy = -6.382 eV/atom
# Total magnetic moment = 0.0 μB/cell
# SG = F-43m, No. 216
# D(E_F) = 4.89 states/eV/f.u.
data_PmZrNi4
_chemical_formula_sum 'Pm1 Zr1 Ni4'
_space_group_name_H-M_alt 'P 1'
_space_group_IT_number 1
_space_group_name_Hall 'P 1'
_cell_length_a 5.044
_cell_length_b 5.044
_cell_length_c 5.044
_cell_angle_alpha 60.00
_cell_angle_beta 60.00
_cell_angle_gamma 60.00
loop_
_atom_site_label
_atom_site_fract_x
_atom_site_fract_y
_atom_site_fract_z
Ni1 0.624 0.624 0.127
Ni2 0.624 0.127 0.624
Ni3 0.624 0.624 0.624
Ni4 0.127 0.624 0.624
Zr1 0.250 0.250 0.250
Pm1 0.000 0.000 0.000

# 7
# MnIn2Ag | the Alexandria database | PBE-GGA | relaxed
# ΔE to the lowest computed polymorph = 0.00 eV/f.u.
# Total magnetic moment = 3.3 μB/cell
# SG = Imm2, No. 44
# D(E_F) = 1.69 states/eV/f.u.
data_MnIn2Ag
_chemical_formula_sum 'Mn1 In2 Ag1'
_space_group_name_H-M_alt 'P 1'
_space_group_IT_number 1
_space_group_name_Hall 'P 1'
_cell_length_a 6.319
_cell_length_b 6.319
_cell_length_c 6.319
_cell_angle_alpha 151.71
_cell_angle_beta 136.76
_cell_angle_gamma 52.48
loop_
_atom_site_label
_atom_site_fract_x
_atom_site_fract_y
_atom_site_fract_z
Ag1 0.295 0.795 0.500
In1 0.992 0.992 0.000
In2 0.712 0.212 0.500
Mn1 0.501 0.501 0.000

# 8
# Ce8Co2Os | the Alexandria database | PBE-GGA | relaxed
# Electronic total energy = -6.702 eV/atom
# Total magnetic moment = 2.3 μB/cell
# SG = C2/m, No. 12
# D(E_F) = 27.88 states/eV/f.u.
data_Ce8Co2Os
_chemical_formula_sum 'Ce8 Co2 Os1'
_space_group_name_H-M_alt 'P 1'
_space_group_IT_number 1
_space_group_name_Hall 'P 1'
_cell_length_a 5.657
_cell_length_b 7.335
_cell_length_c 7.335
_cell_angle_alpha 117.09
_cell_angle_beta 100.01
_cell_angle_gamma 100.01
loop_
_atom_site_label
_atom_site_fract_x
_atom_site_fract_y
_atom_site_fract_z
Os1 0.000 0.003 0.003
Co1 0.500 0.711 0.295
Co2 0.500 0.295 0.711
Ce1 0.586 0.325 0.102
Ce2 0.586 0.102 0.325
Ce3 0.175 0.383 0.383
Ce4 0.000 0.225 0.782
Ce5 0.000 0.782 0.225
Ce6 0.825 0.624 0.624
Ce7 0.414 0.905 0.681
Ce8 0.414 0.681 0.905